Here is a relaxed structure of Rb2BrCl5 from the Alexandria database. Energies are from GGA-PBE.

For the total moment, the calculation gives 0.0 μB per cell. The formation energy from raw total energies comes out at -0.933 eV per atom. The calculation puts the electronic total energy at -2.54 eV per atom. As for the crystal system: tetragonal.

The structure belongs to space group I4/mmm (No. 139); the cell edges are 7.7425, 7.7425 and 8.7935 Å and the angles 90.00°, 90.00° and 90.00°. The asymmetric unit holds Rb at (0.0000, 0.5000, 0.2500), Br at (0.0000, 0.0000, 0.0000), Cl at (0.0000, 0.0000, 0.5000) and Cl at (0.2298, 0.2298, 0.0000).

---

Here is a relaxed structure of RbBr2Cl4 from the Alexandria database. Energies are from GGA-PBE.

For the total moment, the calculation gives 0.0 μB per cell. The formation energy from raw total energies comes out at -0.571 eV per atom. The calculation puts the electronic total energy at -2.24 eV per atom. As for the crystal system: monoclinic.

The structure belongs to space group C2 (No. 5); the cell edges are 16.8059, 6.8860 and 11.9592 Å and the angles 90.00°, 134.63° and 90.00°. The asymmetric unit holds Rb at (0.0000, 0.0000, 0.0000), Rb at (0.0000, 0.2493, 0.5000), Br at (0.2317, 0.6410, 0.9816), Br at (0.2497, 0.3910, 0.4813), Cl at (0.0518, 0.8938, 0.3247), Cl at (0.0525, 0.3886, 0.2827), Cl at (0.2273, 0.6439, 0.1756) and Cl at (0.2300, 0.6386, 0.7823).

---

Here is a relaxed structure of RbBr2Cl2 from the Alexandria database. Energies are from GGA-PBE.

The energy above the most stable polymorph in this dataset comes out at 225 meV/atom. For the total moment, the calculation gives 1.0 μB per cell. The formation energy from raw total energies comes out at -0.498 eV per atom. The calculation puts the electronic total energy at -2.10 eV per atom. As for the crystal system: trigonal.

The structure belongs to space group P-3m1 (No. 164); the cell edges are 5.4420, 5.4420 and 9.5847 Å and the angles 90.00°, 90.00° and 120.00°. The asymmetric unit holds Rb at (0.0000, 0.0000, 0.0000), Br at (0.3333, 0.6667, 0.3763) and Cl at (0.3333, 0.6667, 0.1230).

---

Here is a relaxed structure of Rb2Br2Cl7 from the Alexandria database. Energies are from GGA-PBE.

For the total moment, the calculation gives 1.6 μB per cell. The formation energy from raw total energies comes out at -0.510 eV per atom. The calculation puts the electronic total energy at -2.17 eV per atom. As for the crystal system: monoclinic.

The structure belongs to space group C2/m (No. 12); the cell edges are 9.7938, 12.1297 and 7.2403 Å and the angles 90.00°, 95.05° and 90.00°. The asymmetric unit holds Rb at (0.0000, 0.2451, 0.0000), Br at (0.2490, 0.5000, 0.4579), Cl at (0.0000, 0.0000, 0.5000), Cl at (0.2307, 0.3555, 0.7658) and Cl at (0.2370, 0.5000, 0.1401).

---

Here is a relaxed structure of Rb2Br5Cl12 from the Alexandria database. Energies are from GGA-PBE.

For the total moment, the calculation gives 2.1 μB per cell. The formation energy from raw total energies comes out at -0.384 eV per atom. The calculation puts the electronic total energy at -2.09 eV per atom. As for the crystal system: monoclinic.

The structure belongs to space group C2/m (No. 12); the cell edges are 12.4818, 11.4081 and 10.6564 Å and the angles 90.00°, 97.88° and 90.00°. The asymmetric unit holds Rb at (0.0000, 0.2442, 0.0000), Br at (0.0000, 0.5000, 0.5000), Br at (0.0659, 0.5000, 0.2891), Br at (0.1877, 0.0000, 0.9260), Cl at (0.0072, 0.0000, 0.7942), Cl at (0.1390, 0.5000, 0.9537), Cl at (0.1719, 0.1635, 0.2802) and Cl at (0.1952, 0.2369, 0.6684).

---

Here is a relaxed structure of RbBrCl3 from the Alexandria database. Energies are from GGA-PBE.

The energy above the most stable polymorph in this dataset comes out at 269 meV/atom. For the total moment, the calculation gives 0.0 μB per cell. The formation energy from raw total energies comes out at -0.566 eV per atom. The calculation puts the electronic total energy at -2.20 eV per atom. As for the crystal system: trigonal.

The structure belongs to space group R-3m (No. 166, hexagonal axes); the cell edges are 7.4926, 7.4926 and 22.0888 Å and the angles 90.00°, 90.00° and 120.00°. The asymmetric unit holds Rb at (0.0000, 0.0000, 0.2255), Br at (0.0000, 0.0000, 0.4175) and Cl at (0.0622, 0.5311, 0.7544).